Arrangement one

{
  "formula": "CaLa6Pr2",
  "functional": "GGA-PBE",
  "state": "optimized geometry",
  "lattice": [[8.856, -2.143, -0.601], [-4.540, 7.285, -0.451], [5.496, 6.593, 11.025]],
  "species": ["Ca", "Ca", "La", "La", "La", "La", "La", "La", "La", "La", "La", "La", "La", "La", "Pr", "Pr", "Pr", "Pr"],
  "fractional_positions": [[0.692, 0.047, 0.250], [0.308, 0.953, 0.750], [0.278, 0.412, 0.469], [0.715, 0.849, 0.031], [0.722, 0.588, 0.531], [0.285, 0.151, 0.969], [0.745, 0.226, 0.882], [0.010, 0.492, 0.618], [0.255, 0.774, 0.118], [0.990, 0.508, 0.382], [0.754, 0.463, 0.049], [0.352, 0.062, 0.450], [0.246, 0.537, 0.951], [0.648, 0.938, 0.550], [0.220, 0.261, 0.250], [0.804, 0.689, 0.250], [0.780, 0.739, 0.750], [0.196, 0.311, 0.750]],
  "density_g_cm3": 5.66
}



Arrangement two

{
  "formula": "CaLa6Pr2",
  "functional": "GGA-PBE",
  "state": "optimized geometry",
  "lattice": [[3.650, -0.050, -0.040], [1.577, 10.237, 1.663], [1.577, 3.845, 9.632]],
  "species": ["Ca", "La", "La", "La", "La", "La", "La", "Pr", "Pr"],
  "fractional_positions": [[0.999, 0.000, 0.000], [0.343, 0.986, 0.352], [0.646, 0.013, 0.648], [0.646, 0.648, 0.013], [0.505, 0.337, 0.664], [0.505, 0.664, 0.337], [0.343, 0.352, 0.986], [0.109, 0.343, 0.343], [0.903, 0.657, 0.657]],
  "density_g_cm3": 5.68
}



Most favorable structure: arrangement two. The second most favorable one is 0.020 eV/atom above it.



Arrangement one

{
  "formula": "Ca2La4Pr",
  "functional": "GGA-PBE",
  "state": "optimized geometry",
  "lattice": [[-4.049, -1.995, 3.759], [4.125, -0.565, 4.143], [-1.663, 9.822, -1.168]],
  "species": ["Ca", "Ca", "La", "La", "La", "La", "Pr"],
  "fractional_positions": [[0.627, 0.627, 0.253], [0.373, 0.373, 0.747], [0.829, 0.829, 0.659], [0.171, 0.171, 0.341], [0.000, 0.500, 0.000], [0.500, 0.000, 0.000], [0.000, 0.000, 0.000]],
  "density_g_cm3": 4.09
}



Arrangement two

{
  "formula": "Ca2La4Pr",
  "functional": "GGA-PBE",
  "state": "optimized geometry",
  "lattice": [[3.642, 0.000, 0.000], [0.000, 5.531, -1.079], [0.000, -0.284, 13.257]],
  "species": ["Pr", "Ca", "Ca", "La", "La", "La", "La"],
  "fractional_positions": [[0.000, 0.500, 0.000], [0.500, 0.211, 0.423], [0.500, 0.789, 0.577], [0.500, 0.071, 0.141], [0.000, 0.362, 0.724], [0.500, 0.929, 0.859], [0.000, 0.638, 0.276]],
  "density_g_cm3": 4.85
}



Most favorable structure: arrangement two. The second most favorable one is 0.442 eV/atom above it.



Arrangement one

{
  "formula": "CaLa4Pr6",
  "functional": "GGA-PBE",
  "state": "optimized geometry",
  "lattice": [[-3.814, -4.758, -5.184], [1.193, -6.248, 4.857], [-4.540, 6.803, 3.274]],
  "species": ["Ca", "La", "La", "La", "La", "Pr", "Pr", "Pr", "Pr", "Pr", "Pr"],
  "fractional_positions": [[0.500, 0.500, 0.000], [0.096, 0.752, 0.849], [0.904, 0.904, 0.151], [0.752, 0.096, 0.849], [0.248, 0.248, 0.151], [0.940, 0.442, 0.382], [0.442, 0.940, 0.382], [0.558, 0.558, 0.618], [0.000, 0.500, 0.000], [0.060, 0.060, 0.618], [0.500, 0.000, 0.000]],
  "density_g_cm3": 5.53
}



Arrangement two

{
  "formula": "CaLa4Pr6",
  "functional": "GGA-PBE",
  "state": "optimized geometry",
  "lattice": [[7.705, -2.932, -5.597], [-5.304, 8.228, 1.861], [-1.890, 2.932, 9.334]],
  "species": ["Ca", "La", "La", "La", "La", "Pr", "Pr", "Pr", "Pr", "Pr", "Pr"],
  "fractional_positions": [[0.000, 0.000, 0.000], [0.000, 0.634, 0.994], [0.360, 0.366, 0.366], [0.000, 0.994, 0.634], [0.640, 0.006, 0.006], [0.000, 0.777, 0.458], [0.000, 0.458, 0.777], [0.319, 0.542, 0.542], [0.500, 0.500, 0.000], [0.681, 0.223, 0.223], [0.500, 0.000, 0.500]],
  "density_g_cm3": 5.77
}



Most favorable structure: arrangement two. The second most favorable one is 0.063 eV/atom above it.



Arrangement one

{
  "formula": "Ca2LaPr4",
  "functional": "GGA-PBE",
  "state": "optimized geometry",
  "lattice": [[-2.519, -1.431, 2.202], [2.262, -5.074, -0.709], [6.561, 4.554, 10.464]],
  "species": ["Pr", "Pr", "Pr", "Pr", "Ca", "Ca", "La"],
  "fractional_positions": [[0.500, 0.071, 0.141], [0.000, 0.359, 0.718], [0.500, 0.929, 0.859], [0.000, 0.641, 0.282], [0.500, 0.212, 0.423], [0.500, 0.788, 0.577], [0.000, 0.500, 0.000]],
  "density_g_cm3": 4.96
}



Arrangement two

{
  "formula": "Ca2LaPr4",
  "functional": "GGA-PBE",
  "state": "optimized geometry",
  "lattice": [[5.780, 0.000, 0.000], [0.000, 5.780, 0.000], [-2.890, -2.890, 9.011]],
  "species": ["Ca", "Ca", "La", "Pr", "Pr", "Pr", "Pr"],
  "fractional_positions": [[0.626, 0.626, 0.252], [0.374, 0.374, 0.748], [0.000, 0.000, 0.000], [0.827, 0.827, 0.655], [0.173, 0.173, 0.345], [0.000, 0.500, 0.000], [0.500, 0.000, 0.000]],
  "density_g_cm3": 4.32
}



Most favorable structure: arrangement one. The second most favorable one is 0.483 eV/atom above it.



Arrangement one

{
  "formula": "CaLa3Pr",
  "functional": "GGA-PBE",
  "state": "optimized geometry",
  "lattice": [[5.519, 0.000, -1.743], [-1.777, 4.504, -5.625], [1.523, 0.090, 14.431]],
  "species": ["Ca", "Ca", "La", "La", "La", "La", "La", "La", "Pr", "Pr"],
  "fractional_positions": [[0.607, 0.820, 0.214], [0.393, 0.180, 0.786], [0.997, 0.757, 0.995], [0.003, 0.243, 0.005], [0.397, 0.695, 0.794], [0.603, 0.305, 0.206], [0.205, 0.868, 0.409], [0.795, 0.132, 0.591], [0.800, 0.650, 0.601], [0.200, 0.350, 0.399]],
  "density_g_cm3": 5.31
}



Arrangement two

{
  "formula": "CaLa3Pr",
  "functional": "GGA-PBE",
  "state": "optimized geometry",
  "lattice": [[6.298, 0.000, 0.000], [3.149, 5.454, 0.000], [3.149, 1.818, 12.064]],
  "species": ["Ca", "Ca", "La", "La", "La", "La", "La", "La", "Pr", "Pr"],
  "fractional_positions": [[0.332, 0.332, 0.003], [0.668, 0.668, 0.997], [0.103, 0.409, 0.737], [0.750, 0.103, 0.737], [0.591, 0.250, 0.263], [0.250, 0.897, 0.263], [0.897, 0.591, 0.263], [0.409, 0.750, 0.737], [0.167, 0.167, 0.498], [0.833, 0.833, 0.502]],
  "density_g_cm3": 4.79
}



Most favorable structure: arrangement one. The second most favorable one is 0.262 eV/atom above it.



Arrangement one

{
  "formula": "CaLaTbPr",
  "functional": "GGA-PBE",
  "state": "optimized geometry",
  "lattice": [[3.692, 0.000, 0.000], [0.000, 3.692, 0.000], [0.000, 0.000, 10.720]],
  "species": ["Ca", "La", "Tb", "Pr"],
  "fractional_positions": [[0.000, 0.000, 0.074], [0.500, 0.500, 0.805], [0.000, 0.000, 0.569], [0.500, 0.500, 0.337]],
  "density_g_cm3": 5.44
}



Arrangement two

{
  "formula": "CaLaTbPr",
  "functional": "GGA-PBE",
  "state": "optimized geometry",
  "lattice": [[-1.378, 3.290, -4.710], [-1.423, -2.605, -5.109], [-5.573, 0.175, -1.953]],
  "species": ["Pr", "Ca", "Tb", "La"],
  "fractional_positions": [[0.750, 0.750, 0.750], [0.500, 0.500, 0.500], [0.000, 0.000, 0.000], [0.250, 0.250, 0.250]],
  "density_g_cm3": 5.45
}



Most favorable structure: arrangement one. The second most favorable one is 0.066 eV/atom above it.



Arrangement one

{
  "formula": "CaLaPrTm",
  "functional": "GGA-PBE",
  "state": "optimized geometry",
  "lattice": [[-1.050, -0.243, 3.533], [3.086, -1.871, 0.788], [4.967, 9.079, 2.100]],
  "species": ["Ca", "La", "Pr", "Tm"],
  "fractional_positions": [[0.000, 0.000, 0.074], [0.500, 0.500, 0.803], [0.500, 0.500, 0.338], [0.000, 0.000, 0.568]],
  "density_g_cm3": 5.63
}



Arrangement two

{
  "formula": "CaLaPrTm",
  "functional": "GGA-PBE",
  "state": "optimized geometry",
  "lattice": [[5.875, 0.000, 0.000], [2.937, 5.088, 0.000], [2.937, 1.696, 4.797]],
  "species": ["Pr", "Ca", "Tm", "La"],
  "fractional_positions": [[0.250, 0.250, 0.250], [0.500, 0.500, 0.500], [0.000, 0.000, 0.000], [0.750, 0.750, 0.750]],
  "density_g_cm3": 5.66
}



Most favorable structure: arrangement one. The second most favorable one is 0.051 eV/atom above it.



Arrangement one

{
  "formula": "CaLaPrY",
  "functional": "GGA-PBE",
  "state": "optimized geometry",
  "lattice": [[5.916, 0.000, 0.000], [2.958, 5.124, 0.000], [2.958, 1.708, 4.831]],
  "species": ["Pr", "Y", "Ca", "La"],
  "fractional_positions": [[0.000, 0.000, 0.000], [0.750, 0.750, 0.750], [0.250, 0.250, 0.250], [0.500, 0.500, 0.500]],
  "density_g_cm3": 4.64
}



Arrangement two

{
  "formula": "CaLaPrY",
  "functional": "GGA-PBE",
  "state": "optimized geometry",
  "lattice": [[3.695, 0.000, 0.000], [0.000, 3.695, 0.000], [0.000, 0.000, 10.742]],
  "species": ["Ca", "La", "Pr", "Y"],
  "fractional_positions": [[0.000, 0.000, 0.074], [0.500, 0.500, 0.807], [0.500, 0.500, 0.335], [0.000, 0.000, 0.568]],
  "density_g_cm3": 4.63
}



Most favorable structure: arrangement two. The second most favorable one is 0.058 eV/atom above it.



Arrangement one

{
  "formula": "CaLa2Pt2",
  "functional": "GGA-PBE",
  "state": "optimized geometry",
  "lattice": [[-2.030, 2.301, -4.471], [-0.852, -4.909, -2.140], [-6.458, -1.404, -1.079]],
  "species": ["Ca", "Pt", "Pt", "La", "La"],
  "fractional_positions": [[0.000, 0.000, 0.000], [0.750, 0.250, 0.500], [0.250, 0.750, 0.500], [0.332, 0.332, 0.336], [0.668, 0.668, 0.664]],
  "density_g_cm3": 7.28
}



Arrangement two

{
  "formula": "CaLa2Pt2",
  "functional": "GGA-PBE",
  "state": "optimized geometry",
  "lattice": [[-7.828, 0.219, 1.941], [-1.935, -1.957, -7.584], [0.135, -3.978, 0.992]],
  "species": ["Ca", "Ca", "Pt", "Pt", "Pt", "Pt", "La", "La", "La", "La"],
  "fractional_positions": [[0.000, 0.000, 0.000], [0.500, 0.500, 0.000], [0.361, 0.861, 0.000], [0.861, 0.639, 0.000], [0.639, 0.139, 0.000], [0.139, 0.361, 0.000], [0.159, 0.659, 0.500], [0.659, 0.841, 0.500], [0.841, 0.341, 0.500], [0.341, 0.159, 0.500]],
  "density_g_cm3": 8.81
}



Arrangement three

{
  "formula": "CaLa2Pt2",
  "functional": "GGA-PBE",
  "state": "optimized geometry",
  "lattice": [[-2.721, -0.019, 4.208], [-0.891, -4.895, -0.599], [3.011, -3.714, 4.915]],
  "species": ["Ca", "Pt", "Pt", "La", "La"],
  "fractional_positions": [[0.000, 0.000, 0.000], [0.387, 0.387, 0.227], [0.613, 0.613, 0.773], [0.750, 0.250, 0.500], [0.250, 0.750, 0.500]],
  "density_g_cm3": 7.97
}



Most favorable structure: arrangement two. The second most favorable one is 0.214 eV/atom above it.



Arrangement one

{
  "formula": "CaLaPt",
  "functional": "GGA-PBE",
  "state": "optimized geometry",
  "lattice": [[-0.817, 0.884, 3.690], [1.917, -3.741, 1.321], [5.257, 2.202, -1.392]],
  "species": ["Ca", "Pt", "La"],
  "fractional_positions": [[0.520, 0.000, 0.561], [0.248, 0.000, 0.014], [0.784, 0.500, 0.085]],
  "density_g_cm3": 6.56
}



Arrangement two

{
  "formula": "CaLaPt",
  "functional": "GGA-PBE",
  "state": "optimized geometry",
  "lattice": [[4.302, 0.000, 0.000], [-2.151, 3.726, 0.000], [0.000, 0.000, 18.914]],
  "species": ["Ca", "Ca", "Ca", "Pt", "Pt", "Pt", "La", "La", "La"],
  "fractional_positions": [[0.000, 0.000, 0.556], [0.333, 0.667, 0.223], [0.667, 0.333, 0.889], [0.000, 0.000, 0.306], [0.333, 0.667, 0.973], [0.667, 0.333, 0.639], [0.000, 0.000, 0.049], [0.333, 0.667, 0.716], [0.667, 0.333, 0.383]],
  "density_g_cm3": 6.15
}



Arrangement three

{
  "formula": "CaLaPt",
  "functional": "GGA-PBE",
  "state": "optimized geometry",
  "lattice": [[-0.083, 4.746, -5.315], [-3.596, 3.799, -4.839], [-0.649, 3.226, 1.624]],
  "species": ["Ca", "Pt", "La"],
  "fractional_positions": [[0.037, 0.037, 0.963], [0.673, 0.673, 0.327], [0.289, 0.289, 0.711]],
  "density_g_cm3": 6.95
}



Most favorable structure: arrangement one. The second most favorable one is 0.033 eV/atom above it.



Arrangement one

{
  "formula": "CaLaPt3",
  "functional": "GGA-PBE",
  "state": "optimized geometry",
  "lattice": [[-4.813, 1.165, 0.888], [-1.318, -4.775, -0.879], [0.640, -1.074, 4.874]],
  "species": ["Ca", "Pt", "Pt", "Pt", "La"],
  "fractional_positions": [[0.000, 0.000, 0.000], [0.000, 0.500, 0.000], [0.000, 0.000, 0.500], [0.500, 0.000, 0.000], [0.500, 0.500, 0.500]],
  "density_g_cm3": 9.96
}



Arrangement two

{
  "formula": "CaLaPt3",
  "functional": "GGA-PBE",
  "state": "optimized geometry",
  "lattice": [[-1.648, -4.517, 2.268], [4.764, -2.184, -0.889], [1.687, 1.757, 4.725]],
  "species": ["Ca", "Pt", "Pt", "Pt", "La"],
  "fractional_positions": [[0.500, 0.500, 0.500], [0.000, 0.500, 0.000], [0.000, 0.000, 0.500], [0.500, 0.000, 0.000], [0.000, 0.000, 0.000]],
  "density_g_cm3": 8.45
}



Most favorable structure: arrangement one. The second most favorable one is 0.050 eV/atom above it.



Arrangement one

{
  "formula": "Ca2LaPt2",
  "functional": "GGA-PBE",
  "state": "optimized geometry",
  "lattice": [[4.518, 0.000, 0.000], [0.000, 5.678, -0.787], [0.000, -3.054, 11.386]],
  "species": ["Ca", "Ca", "Ca", "Ca", "La", "La", "Pt", "Pt", "Pt", "Pt"],
  "fractional_positions": [[0.250, 0.769, 0.881], [0.750, 0.231, 0.119], [0.250, 0.289, 0.536], [0.750, 0.711, 0.464], [0.250, 0.818, 0.210], [0.750, 0.182, 0.790], [0.250, 0.880, 0.643], [0.750, 0.120, 0.357], [0.250, 0.329, 0.974], [0.750, 0.671, 0.026]],
  "density_g_cm3": 7.19
}



Arrangement two

{
  "formula": "Ca2LaPt2",
  "functional": "GGA-PBE",
  "state": "optimized geometry",
  "lattice": [[4.456, 0.000, 0.000], [0.000, 5.697, -0.963], [0.000, -1.662, 11.380]],
  "species": ["Ca", "Ca", "Ca", "Ca", "La", "La", "Pt", "Pt", "Pt", "Pt"],
  "fractional_positions": [[0.750, 0.248, 0.962], [0.250, 0.767, 0.715], [0.250, 0.752, 0.038], [0.750, 0.233, 0.285], [0.750, 0.221, 0.627], [0.250, 0.779, 0.373], [0.250, 0.324, 0.470], [0.750, 0.682, 0.188], [0.250, 0.318, 0.812], [0.750, 0.676, 0.530]],
  "density_g_cm3": 7.18
}



Most favorable structure: arrangement two. The second most favorable one is 0.041 eV/atom above it.